--- one ---
This record from Alexandria via LeMat-Bulk describes a relaxed structure of NaZrIn. The functional is PBE.

The space group is P6_3/mmc (No. 194) and the conventional cell measures 5.2016, 5.2016 and 6.0455 Å, with angles of 90.00, 90.00 and 120.00 degrees. The asymmetric unit holds Na at (0.0000, 0.0000, 0.0000), Zr at (0.3333, 0.6667, 0.2500) and In at (0.3333, 0.6667, 0.7500).

--- two ---
This record from Alexandria via LeMat-Bulk describes a relaxed structure of NaZrIn. The functional is PBE.

The space group is P4mm (No. 99) and the conventional cell measures 3.1358, 3.1358 and 15.5460 Å, with angles of 90.00, 90.00 and 90.00 degrees. The asymmetric unit holds Na at (0.0000, 0.0000, 0.0000), Na at (0.0000, 0.0000, 0.3446), Zr at (0.0000, 0.0000, 0.6660), Zr at (0.5000, 0.5000, 0.8073), In at (0.5000, 0.5000, 0.1730) and In at (0.5000, 0.5000, 0.5086).

--- three ---
This record from Alexandria via LeMat-Bulk describes a relaxed structure of NaZrIn. The functional is PBE.

The space group is P-6m2 (No. 187) and the conventional cell measures 5.2518, 5.2518 and 3.1560 Å, with angles of 90.00, 90.00 and 120.00 degrees. The asymmetric unit holds Na at (0.0000, 0.0000, 0.0000), Zr at (0.6667, 0.3333, 0.5000) and In at (0.3333, 0.6667, 0.5000).

--- four ---
This record from Alexandria via LeMat-Bulk describes a relaxed structure of NaZrIn. The functional is PBE.

The space group is P6_3/mmc (No. 194) and the conventional cell measures 4.9688, 4.9688 and 6.2412 Å, with angles of 90.00, 90.00 and 120.00 degrees. The asymmetric unit holds Na at (0.3333, 0.6667, 0.2500), Zr at (0.3333, 0.6667, 0.7500) and In at (0.0000, 0.0000, 0.0000).

Q: Which of them is the least stable? A: four.

--- one ---
This record from Alexandria via LeMat-Bulk describes a relaxed structure of Nb2In. The functional is PBE.

The space group is I4/mmm (No. 139) and the conventional cell measures 3.5116, 3.5116 and 9.5544 Å, with angles of 90.00, 90.00 and 90.00 degrees. The asymmetric unit holds Nb at (0.0000, 0.0000, 0.1814) and In at (0.0000, 0.0000, 0.5000).

--- two ---
This record from Alexandria via LeMat-Bulk describes a relaxed structure of Nb2In. The functional is PBE.

The space group is Immm (No. 71) and the conventional cell measures 3.2892, 6.2351 and 12.2905 Å, with angles of 90.00, 90.00 and 90.00 degrees. The asymmetric unit holds Nb at (0.0000, 0.0000, 0.1297), Nb at (0.0000, 0.2475, 0.5000) and In at (0.0000, 0.5000, 0.1651).

--- three ---
This record from Alexandria via LeMat-Bulk describes a relaxed structure of Nb2In. The functional is PBE.

The space group is Fd-3m (No. 227, origin choice 2) and the conventional cell measures 7.8622, 7.8622 and 7.8622 Å, with angles of 90.00, 90.00 and 90.00 degrees. The asymmetric unit holds Nb at (0.0000, 0.0000, 0.0000) and In at (0.1250, 0.1250, 0.6250).

Q: Which of them is the least stable? A: three.

--- one ---
This record from Alexandria via LeMat-Bulk describes a relaxed structure of Nb2In2Ni. The functional is PBE.

The space group is P4/mbm (No. 127) and the conventional cell measures 6.5760, 6.5760 and 4.4174 Å, with angles of 90.00, 90.00 and 90.00 degrees. The asymmetric unit holds Nb at (0.1531, 0.3469, 0.0000), In at (0.1510, 0.6510, 0.5000) and Ni at (0.0000, 0.0000, 0.5000).

--- two ---
This record from Alexandria via LeMat-Bulk describes a relaxed structure of Nb2In2Ni. The functional is PBE.

The space group is I4/mmm (No. 139) and the conventional cell measures 3.6732, 3.6732 and 15.2639 Å, with angles of 90.00, 90.00 and 90.00 degrees. The asymmetric unit holds Nb at (0.0000, 0.5000, 0.2500), In at (0.0000, 0.0000, 0.0912) and Ni at (0.0000, 0.0000, 0.5000).

Q: Which of them is the least stable? A: two.

--- one ---
This record from Alexandria via LeMat-Bulk describes a relaxed structure of NbIn3Ni. The functional is PBE.

The space group is Pm-3m (No. 221) and the conventional cell measures 5.3711, 5.3711 and 5.3711 Å, with angles of 90.00, 90.00 and 90.00 degrees. The asymmetric unit holds Nb at (0.0000, 0.0000, 0.0000), In at (0.0000, 0.0000, 0.5000) and Ni at (0.5000, 0.5000, 0.5000).

--- two ---
This record from Alexandria via LeMat-Bulk describes a relaxed structure of NbIn3Ni. The functional is PBE.

The space group is Pm-3m (No. 221) and the conventional cell measures 4.8344, 4.8344 and 4.8344 Å, with angles of 90.00, 90.00 and 90.00 degrees. The asymmetric unit holds Nb at (0.0000, 0.0000, 0.0000), In at (0.0000, 0.5000, 0.5000) and Ni at (0.5000, 0.5000, 0.5000).

Q: Which of them is the least stable? A: one.

--- one ---
This record from Alexandria via LeMat-Bulk describes a relaxed structure of Nb3InNi. The functional is PBE.

The space group is Pm-3m (No. 221) and the conventional cell measures 5.0023, 5.0023 and 5.0023 Å, with angles of 90.00, 90.00 and 90.00 degrees. The asymmetric unit holds Nb at (0.0000, 0.0000, 0.5000), In at (0.0000, 0.0000, 0.0000) and Ni at (0.5000, 0.5000, 0.5000).

--- two ---
This record from Alexandria via LeMat-Bulk describes a relaxed structure of Nb3InNi. The functional is PBE.

The space group is Pm-3m (No. 221) and the conventional cell measures 4.6595, 4.6595 and 4.6595 Å, with angles of 90.00, 90.00 and 90.00 degrees. The asymmetric unit holds Nb at (0.0000, 0.0000, 0.5000), In at (0.5000, 0.5000, 0.5000) and Ni at (0.0000, 0.0000, 0.0000).

Q: Which of them is the least stable? A: one.

--- one ---
This record from Alexandria via LeMat-Bulk describes a relaxed structure of NbIn3O. The functional is PBE.

The space group is Pm-3m (No. 221) and the conventional cell measures 4.5934, 4.5934 and 4.5934 Å, with angles of 90.00, 90.00 and 90.00 degrees. The asymmetric unit holds Nb at (0.0000, 0.0000, 0.0000), In at (0.0000, 0.5000, 0.5000) and O at (0.5000, 0.5000, 0.5000).

--- two ---
This record from Alexandria via LeMat-Bulk describes a relaxed structure of NbIn3O. The functional is PBE.

The space group is Pm-3m (No. 221) and the conventional cell measures 5.4812, 5.4812 and 5.4812 Å, with angles of 90.00, 90.00 and 90.00 degrees. The asymmetric unit holds Nb at (0.0000, 0.0000, 0.0000), In at (0.0000, 0.0000, 0.5000) and O at (0.5000, 0.5000, 0.5000).

Q: Which of them is the least stable? A: two.